The following is a PBE with a Hubbard U calculation of crystalline Cs3AcMo2O8 at its relaxed geometry, from the Alexandria database.

## Properties
The raw total energy is -6.307 eV per atom. As for the calculated volume: 22.773 A^3/atom. The value obtained for the density of states at the Fermi level is 7.9 states/eV per cell.

a b c (Å): 6.563 6.563 8.548
angles (deg): 90.00 90.00 120.00
Last column: magnetic moment on the atom in μB.
Positions (direct):
O  0.333  0.667  0.035  -0.04
O  0.822  0.178  0.672  -0.02
O  0.822  0.643  0.672  -0.02
O  0.643  0.822  0.328  -0.02
O  0.357  0.178  0.672  -0.02
O  0.178  0.357  0.328  -0.02
O  0.178  0.822  0.328  -0.02
O  0.667  0.333  0.965  -0.04
Mo  0.333  0.667  0.246  1.00
Mo  0.667  0.333  0.754  1.00
Cs  0.667  0.333  0.302  0.00
Cs  0.000  0.000  0.000  0.00
Cs  0.333  0.667  0.698  0.00
Ac  0.000  0.000  0.500  0.04